(1)
KInSe2 | GGA-PBE | optimized geometry

Summary:
The theoretical density is 4.71 g/cm3. For the uncorrected formation energy, the calculation gives -483 meV per atom. As for the total energy: -12.7 eV/cell.

a b c (Å): 6.535 6.535 5.881
angles (deg): 90.02 90.02 25.97
Positions (direct):
K  0.000  0.000  0.000
In  0.256  0.256  0.499
Se  0.475  0.475  0.500
Se  0.738  0.738  0.002

(2)
KIn2Se2 | GGA-PBE | optimized geometry

Summary:
The theoretical density is 4.76 g/cm3. For the uncorrected formation energy, the calculation gives -446 meV per atom. As for the total energy: -15.8 eV/cell.

a b c (Å): 7.991 7.991 7.991
angles (deg): 147.26 147.26 46.98
Positions (direct):
K  0.000  0.000  0.000
In  0.250  0.750  0.500
In  0.750  0.250  0.500
Se  0.412  0.412  0.000
Se  0.588  0.588  0.000